Material: Pu4PaSe6
Method: DFT, GGA-PBE
State: relaxed Values from VASP.

```
&SYSTEM
  ibrav = 0, nat = 22, ntyp = 3
/
ATOMIC_SPECIES
Pu 244.00 Pu.upf
Pa 231.04 Pa.upf
Se 78.96 Se.upf
CELL_PARAMETERS angstrom
-3.135 -2.589 -0.076
5.248 -3.051 -3.795
7.094 -9.094 17.122
ATOMIC_POSITIONS crystal
Pu 0.860 0.719 0.541
Pu 0.412 0.824 0.131
Pu 0.140 0.281 0.459
Pu 0.588 0.176 0.869
Pu 0.860 0.719 0.959
Pu 0.140 0.281 0.041
Pu 0.588 0.176 0.631
Pu 0.412 0.824 0.369
Pa 0.655 0.310 0.250
Pa 0.345 0.690 0.750
Se 0.500 0.000 0.000
Se 0.500 0.000 0.500
Se 0.052 0.104 0.331
Se 0.948 0.896 0.669
Se 0.948 0.896 0.831
Se 0.052 0.104 0.169
Se 0.772 0.543 0.409
Se 0.228 0.457 0.591
Se 0.228 0.457 0.909
Se 0.772 0.543 0.091
Se 0.304 0.608 0.250
Se 0.696 0.392 0.750
```

* DOS(E_F): 80.72 states/eV per cell
* formation energy without anion corrections: -15.93 eV per formula unit
* volume: 576.23 Å³ per cell
* spin magnetization: 24.570 μB/f.u.
* crystal system: orthorhombic
* total DFT energy (no corrections): -9.42 eV/atom